#A
The following is a DFT calculation (PBE-GGA) of an optimized crystal structure of Ce4HPt2.

Summary:
- Crystal system: tetragonal
- Density: 8.8 Mg/m³

Cell lengths 7.9871, 7.9871, 7.9871 Å; angles 119.98, 119.98, 90.04 degrees
Sites, in units of the cell vectors:
Ce 0.1105 0.3708 0.7412
Ce 0.1193 0.8796 0.7588
Ce 0.1204 0.8792 0.2397
Ce 0.1208 0.3605 0.2412
Ce 0.6292 0.3704 0.7397
Ce 0.6296 0.3693 0.2588
Ce 0.6307 0.8895 0.2603
Ce 0.6395 0.8807 0.7603
H 0.0000 0.0000 0.0000
H 0.7500 0.2500 0.5000
Pt 0.3741 0.1250 0.7491
Pt 0.3750 0.6259 0.7509
Pt 0.3759 0.6250 0.2509
Pt 0.8750 0.6241 0.2491

#B
The following is a DFT calculation (PBE-GGA) of an optimized crystal structure of Ce4HPt2.

Summary:
- Crystal system: tetragonal
- Density: 10.0 Mg/m³

Cell lengths 4.5013, 4.5013, 15.5741 Å; angles 90.00, 90.00, 90.00 degrees
Sites, in units of the cell vectors:
Ce 0.0000 0.0000 0.1836
Ce 0.0000 0.0000 0.8164
Ce 0.0000 0.5000 0.0000
Ce 0.0000 0.5000 0.5000
Ce 0.5000 0.0000 0.0000
Ce 0.5000 0.0000 0.5000
Ce 0.5000 0.5000 0.3164
Ce 0.5000 0.5000 0.6836
H 0.0000 0.0000 0.0000
H 0.5000 0.5000 0.5000
Pt 0.0000 0.0000 0.3574
Pt 0.0000 0.0000 0.6426
Pt 0.5000 0.5000 0.1426
Pt 0.5000 0.5000 0.8574

Looking at the structures above, #B is most stable, and the difference to the next one is 11 meV/atom.